w.
# Er4PdPt2 (PBE, relaxed)
# **Theoretical density**: 11.20 Mg/m³
# **Density of states at the Fermi level**: 2.88 states/eV/f.u.
data_Er4PdPt2
_chemical_formula_sum 'Er4 Pd1 Pt2'
_space_group_name_H-M_alt 'P 1'
_space_group_IT_number 1
_cell_length_a 10.2901
_cell_length_b 10.2901
_cell_length_c 10.2901
_cell_angle_alpha 25.13
_cell_angle_beta 25.13
_cell_angle_gamma 25.13
loop_
_space_group_symop_operation_xyz
'x,y,z'
loop_
_atom_site_label
_atom_site_type_symbol
_atom_site_fract_x
_atom_site_fract_y
_atom_site_fract_z
_atom_site_occupancy
Er1 Er 0.1197 0.1197 0.1197 1
Er2 Er 0.2971 0.2971 0.2971 1
Er3 Er 0.7029 0.7029 0.7029 1
Er4 Er 0.8803 0.8803 0.8803 1
Pd1 Pd 0.5000 0.5000 0.5000 1
Pt1 Pt 0.4042 0.4042 0.4042 1
Pt2 Pt 0.5958 0.5958 0.5958 1

***

x.
# Er4PdPt2 (PBE, relaxed)
# **Theoretical density**: 11.90 Mg/m³
# **Density of states at the Fermi level**: 6.10 states/eV/f.u.
data_Er4PdPt2
_chemical_formula_sum 'Er4 Pd1 Pt2'
_space_group_name_H-M_alt 'P 1'
_space_group_IT_number 1
_cell_length_a 8.4164
_cell_length_b 8.4164
_cell_length_c 8.4164
_cell_angle_alpha 33.60
_cell_angle_beta 33.60
_cell_angle_gamma 33.60
loop_
_space_group_symop_operation_xyz
'x,y,z'
loop_
_atom_site_label
_atom_site_type_symbol
_atom_site_fract_x
_atom_site_fract_y
_atom_site_fract_z
_atom_site_occupancy
Er1 Er 0.1241 0.1241 0.1241 1
Er2 Er 0.3740 0.3740 0.3740 1
Er3 Er 0.6260 0.6260 0.6260 1
Er4 Er 0.8759 0.8759 0.8759 1
Pd1 Pd 0.5000 0.5000 0.5000 1
Pt1 Pt 0.2510 0.2510 0.2510 1
Pt2 Pt 0.7490 0.7490 0.7490 1

***

Stability ranking, top and bottom: x is the most stable and w is the least stable.

***

w.
# ErPd4Pt (PBE, relaxed)
# **Theoretical density**: 13.05 Mg/m³
# **Density of states at the Fermi level**: 3.38 states/eV/f.u.
data_ErPd4Pt
_chemical_formula_sum 'Er1 Pd4 Pt1'
_space_group_name_H-M_alt 'P 1'
_space_group_IT_number 1
_cell_length_a 5.0043
_cell_length_b 5.0043
_cell_length_c 4.9098
_cell_angle_alpha 98.98
_cell_angle_beta 98.98
_cell_angle_gamma 120.75
loop_
_space_group_symop_operation_xyz
'x,y,z'
loop_
_atom_site_label
_atom_site_type_symbol
_atom_site_fract_x
_atom_site_fract_y
_atom_site_fract_z
_atom_site_occupancy
Er1 Er 0.0000 0.0000 0.0000 1
Pd1 Pd 0.1737 0.8263 0.5000 1
Pd2 Pd 0.3361 0.6639 0.0000 1
Pd3 Pd 0.6639 0.3361 0.0000 1
Pd4 Pd 0.8263 0.1737 0.5000 1
Pt1 Pt 0.5000 0.5000 0.5000 1

***

x.
# ErPd4Pt (PBE, relaxed)
# **Theoretical density**: 11.74 Mg/m³
# **Density of states at the Fermi level**: 3.02 states/eV/f.u.
data_ErPd4Pt
_chemical_formula_sum 'Er2 Pd8 Pt2'
_space_group_name_H-M_alt 'P 1'
_space_group_IT_number 1
_cell_length_a 10.4148
_cell_length_b 10.4148
_cell_length_c 4.6798
_cell_angle_alpha 90.00
_cell_angle_beta 90.00
_cell_angle_gamma 153.95
loop_
_space_group_symop_operation_xyz
'x,y,z'
loop_
_atom_site_label
_atom_site_type_symbol
_atom_site_fract_x
_atom_site_fract_y
_atom_site_fract_z
_atom_site_occupancy
Er1 Er 0.1694 0.8306 0.5000 1
Er2 Er 0.8306 0.1694 0.0000 1
Pd1 Pd 0.0957 0.9043 0.9986 1
Pd2 Pd 0.2512 0.7488 0.0043 1
Pd3 Pd 0.3293 0.6707 0.5068 1
Pd4 Pd 0.4678 0.5322 0.5119 1
Pd5 Pd 0.5322 0.4678 0.0119 1
Pd6 Pd 0.6707 0.3293 0.0068 1
Pd7 Pd 0.7488 0.2512 0.5043 1
Pd8 Pd 0.9043 0.0957 0.4986 1
Pt1 Pt 0.4017 0.5983 0.0103 1
Pt2 Pt 0.5983 0.4017 0.5103 1

***

y.
# ErPd4Pt (PBE, relaxed)
# **Theoretical density**: 12.61 Mg/m³
# **Density of states at the Fermi level**: 8.13 states/eV/f.u.
data_ErPd4Pt
_chemical_formula_sum 'Er1 Pd4 Pt1'
_space_group_name_H-M_alt 'P 1'
_space_group_IT_number 1
_cell_length_a 5.2746
_cell_length_b 5.2746
_cell_length_c 5.2746
_cell_angle_alpha 60.00
_cell_angle_beta 60.00
_cell_angle_gamma 60.00
loop_
_space_group_symop_operation_xyz
'x,y,z'
loop_
_atom_site_label
_atom_site_type_symbol
_atom_site_fract_x
_atom_site_fract_y
_atom_site_fract_z
_atom_site_occupancy
Er1 Er 0.0000 0.0000 0.0000 1
Pd1 Pd 0.1270 0.6243 0.6243 1
Pd2 Pd 0.6243 0.1270 0.6243 1
Pd3 Pd 0.6243 0.6243 0.1270 1
Pd4 Pd 0.6243 0.6243 0.6243 1
Pt1 Pt 0.2500 0.2500 0.2500 1

***

Stability ranking, top and bottom: w is the most stable and x is the least stable.

***

w.
# Er2PdPt4 (PBE, relaxed)
# **Theoretical density**: 14.85 Mg/m³
# **Density of states at the Fermi level**: 4.84 states/eV/f.u.
data_Er2PdPt4
_chemical_formula_sum 'Er2 Pd1 Pt4'
_space_group_name_H-M_alt 'P 1'
_space_group_IT_number 1
_cell_length_a 7.1354
_cell_length_b 6.1869
_cell_length_c 5.2614
_cell_angle_alpha 76.64
_cell_angle_beta 57.52
_cell_angle_gamma 45.84
loop_
_space_group_symop_operation_xyz
'x,y,z'
loop_
_atom_site_label
_atom_site_type_symbol
_atom_site_fract_x
_atom_site_fract_y
_atom_site_fract_z
_atom_site_occupancy
Er1 Er 0.1446 0.1446 0.8554 1
Er2 Er 0.8554 0.8554 0.1446 1
Pd1 Pd 0.5000 0.5000 0.5000 1
Pt1 Pt 0.0000 0.0000 0.5000 1
Pt2 Pt 0.2500 0.2500 0.2500 1
Pt3 Pt 0.5000 0.5000 0.0000 1
Pt4 Pt 0.7500 0.7500 0.7500 1

***

x.
# Er2PdPt4 (PBE, relaxed)
# **Theoretical density**: 14.64 Mg/m³
# **Density of states at the Fermi level**: 3.92 states/eV/f.u.
data_Er2PdPt4
_chemical_formula_sum 'Er2 Pd1 Pt4'
_space_group_name_H-M_alt 'P 1'
_space_group_IT_number 1
_cell_length_a 9.6110
_cell_length_b 9.6110
_cell_length_c 9.6110
_cell_angle_alpha 156.73
_cell_angle_beta 156.73
_cell_angle_gamma 33.15
loop_
_space_group_symop_operation_xyz
'x,y,z'
loop_
_atom_site_label
_atom_site_type_symbol
_atom_site_fract_x
_atom_site_fract_y
_atom_site_fract_z
_atom_site_occupancy
Er1 Er 0.1035 0.1035 0.0000 1
Er2 Er 0.8965 0.8965 0.0000 1
Pd1 Pd 0.5000 0.5000 0.0000 1
Pt1 Pt 0.2500 0.7500 0.5000 1
Pt2 Pt 0.3572 0.3572 0.0000 1
Pt3 Pt 0.6428 0.6428 0.0000 1
Pt4 Pt 0.7500 0.2500 0.5000 1

***

Stability ranking, top and bottom: x is the most stable and w is the least stable.

***

w.
# ErPd5Pt2 (PBE, relaxed)
# **Theoretical density**: 13.81 Mg/m³
# **Density of states at the Fermi level**: 12.03 states/eV/f.u.
data_ErPd5Pt2
_chemical_formula_sum 'Er2 Pd10 Pt4'
_space_group_name_H-M_alt 'P 1'
_space_group_IT_number 1
_cell_length_a 5.6807
_cell_length_b 11.3922
_cell_length_c 4.0487
_cell_angle_alpha 90.00
_cell_angle_beta 90.00
_cell_angle_gamma 90.00
loop_
_space_group_symop_operation_xyz
'x,y,z'
loop_
_atom_site_label
_atom_site_type_symbol
_atom_site_fract_x
_atom_site_fract_y
_atom_site_fract_z
_atom_site_occupancy
Er1 Er 0.0000 0.0000 0.0000 1
Er2 Er 0.5000 0.5000 0.0000 1
Pd1 Pd 0.0000 0.5000 0.0000 1
Pd2 Pd 0.0131 0.2502 0.0000 1
Pd3 Pd 0.2470 0.8733 0.5000 1
Pd4 Pd 0.2530 0.3733 0.5000 1
Pd5 Pd 0.4869 0.7502 0.0000 1
Pd6 Pd 0.5000 0.0000 0.0000 1
Pd7 Pd 0.5131 0.2498 0.0000 1
Pd8 Pd 0.7470 0.6267 0.5000 1
Pd9 Pd 0.7530 0.1267 0.5000 1
Pd10 Pd 0.9869 0.7498 0.0000 1
Pt1 Pt 0.2381 0.6278 0.5000 1
Pt2 Pt 0.2619 0.1278 0.5000 1
Pt3 Pt 0.7381 0.8722 0.5000 1
Pt4 Pt 0.7619 0.3722 0.5000 1

***

x.
# ErPd5Pt2 (PBE, relaxed)
# **Theoretical density**: 13.31 Mg/m³
# **Density of states at the Fermi level**: 7.70 states/eV/f.u.
data_ErPd5Pt2
_chemical_formula_sum 'Er2 Pd10 Pt4'
_space_group_name_H-M_alt 'P 1'
_space_group_IT_number 1
_cell_length_a 7.4174
_cell_length_b 7.4174
_cell_length_c 7.4174
_cell_angle_alpha 123.47
_cell_angle_beta 123.47
_cell_angle_gamma 84.08
loop_
_space_group_symop_operation_xyz
'x,y,z'
loop_
_atom_site_label
_atom_site_type_symbol
_atom_site_fract_x
_atom_site_fract_y
_atom_site_fract_z
_atom_site_occupancy
Er1 Er 0.2500 0.2500 0.0000 1
Er2 Er 0.7500 0.7500 0.0000 1
Pd1 Pd 0.0000 0.0000 0.0000 1
Pd2 Pd 0.0158 0.5158 0.2037 1
Pd3 Pd 0.1879 0.9842 0.5000 1
Pd4 Pd 0.3121 0.8121 0.7963 1
Pd5 Pd 0.4842 0.6879 0.5000 1
Pd6 Pd 0.5000 0.5000 0.0000 1
Pd7 Pd 0.5158 0.3121 0.5000 1
Pd8 Pd 0.6879 0.1879 0.2037 1
Pd9 Pd 0.8121 0.0158 0.5000 1
Pd10 Pd 0.9842 0.4842 0.7963 1
Pt1 Pt 0.1447 0.3553 0.5000 1
Pt2 Pt 0.3553 0.8553 0.2105 1
Pt3 Pt 0.6447 0.1447 0.7895 1
Pt4 Pt 0.8553 0.6447 0.5000 1

***

Stability ranking, top and bottom: w is the most stable and x is the least stable.